VASP calculation (PBE-GGA) on a geometry-optimized TaAsPdBr2 structure.

Summary:
Density, Mg/m³: 7.07
Excess energy over the best structure of this formula in the dataset, meV/atom: 572
Formation energy (no corrections), eV/atom: 0.9766
Density of states at the Fermi level, states/eV/cell: 3.6

Lattice parameters (Å, degrees): 4.939 4.939 5.027 90.00 90.00 90.00
Fractional positions:
As1 0.000 0.000 0.500
Br1 0.000 0.500 0.000
Br2 0.500 0.000 0.000
Pd1 0.000 0.000 0.000
Ta1 0.500 0.500 0.500